(1)
A plane-wave DFT calculation with GGA-PBE was carried out for crystalline ZrTl3C at its relaxed geometry.

```
data_ZrTl3C
_chemical_formula_sum 'Zr1 Tl3 C1'
_symmetry_space_group_name_H-M 'P m -3 m'
_symmetry_Int_Tables_number 221
_symmetry_space_group_name_Hall '-P 4 2 3'
_cell_length_a 4.885
_cell_length_b 4.885
_cell_length_c 4.885
_cell_angle_alpha 90.00
_cell_angle_beta 90.00
_cell_angle_gamma 90.00
loop_
_atom_site_label
_atom_site_fract_x
_atom_site_fract_y
_atom_site_fract_z
_atom_site_occupancy
Zr1 0.000 0.000 0.000 1
Tl1 0.000 0.500 0.500 1
C1 0.500 0.500 0.500 1
```

Output
N(E_F) ... 5.5 states/eV/cell
Energy relative to the elements ... 1.231 eV/atom
Energy relative to the lowest polymorph listed for this composition ... 0 meV per atom

(2)
A plane-wave DFT calculation with GGA-PBE was carried out for crystalline LiSbI3 at its relaxed geometry.

```
data_LiSbI3
_chemical_formula_sum 'Li1 Sb1 I3'
_symmetry_space_group_name_H-M 'P m -3 m'
_symmetry_Int_Tables_number 221
_symmetry_space_group_name_Hall '-P 4 2 3'
_cell_length_a 6.132
_cell_length_b 6.132
_cell_length_c 6.132
_cell_angle_alpha 90.00
_cell_angle_beta 90.00
_cell_angle_gamma 90.00
loop_
_atom_site_label
_atom_site_fract_x
_atom_site_fract_y
_atom_site_fract_z
_atom_site_occupancy
Li1 0.000 0.000 0.000 1
Sb1 0.500 0.500 0.500 1
I1 0.000 0.500 0.500 1
```

Output
E_form (uncorrected) ... -287 meV/atom
N(E_F) ... 1.4 states/eV/cell
Energy relative to the lowest polymorph listed for this composition ... 320 meV per atom

(3)
A plane-wave DFT calculation with GGA-PBE was carried out for crystalline Ca6TlNi2 at its relaxed geometry.

```
data_Ca6TlNi2
_chemical_formula_sum 'Ca24 Tl4 Ni8'
_symmetry_space_group_name_H-M 'I m m m'
_symmetry_Int_Tables_number 71
_symmetry_space_group_name_Hall '-I 2 2'
_cell_length_a 9.757
_cell_length_b 9.870
_cell_length_c 10.774
_cell_angle_alpha 90.00
_cell_angle_beta 90.00
_cell_angle_gamma 90.00
loop_
_atom_site_label
_atom_site_fract_x
_atom_site_fract_y
_atom_site_fract_z
_atom_site_occupancy
Ca1 0.000 0.203 0.234 1
Ca2 0.194 0.500 0.177 1
Ca3 0.209 0.317 0.500 1
Tl1 0.000 0.000 0.000 1
Tl2 0.000 0.000 0.500 1
Ni1 0.000 0.379 0.000 1
Ni2 0.000 0.500 0.390 1
```

Output
N(E_F) ... 33.9 states/eV/cell
Energy relative to the elements ... -0.179 eV/atom